w:
# Sc2TaMn | Alexandria via LeMat-Bulk | PBE | optimized geometry
data_Sc2TaMn
_chemical_formula_sum 'Sc6 Ta3 Mn3'
_cell_length_a 3.0487
_cell_length_b 3.0487
_cell_length_c 28.9607
_cell_angle_alpha 90.00
_cell_angle_beta 90.00
_cell_angle_gamma 120.00
_space_group_name_H-M_alt 'R -3 m'
_space_group_IT_number 166
_space_group_name_Hall '-R 3 2"'
loop_
_atom_site_label
_atom_site_type_symbol
_atom_site_fract_x
_atom_site_fract_y
_atom_site_fract_z
Sc1 Sc 0.0000 0.0000 0.2462
Ta1 Ta 0.0000 0.0000 0.0000
Mn1 Mn 0.0000 0.0000 0.5000
# Total magnetic moment (μB/f.u.): 3.11
# Crystal system: trigonal

---

x:
# Sc2TaMn | Alexandria via LeMat-Bulk | PBE | optimized geometry
data_Sc2TaMn
_chemical_formula_sum 'Sc4 Ta2 Mn2'
_cell_length_a 6.166
_cell_length_b 8.391
_cell_length_c 3.013
_cell_angle_alpha 90.00
_cell_angle_beta 90.00
_cell_angle_gamma 90.00
_space_group_name_H-M_alt 'C m m m'
_space_group_IT_number 65
_space_group_name_Hall '-C 2 2'
loop_
_atom_site_label
_atom_site_type_symbol
_atom_site_fract_x
_atom_site_fract_y
_atom_site_fract_z
Sc1 Sc 0.250 0.250 0.000
Ta1 Ta 0.000 0.000 0.500
Mn1 Mn 0.000 0.500 0.500
# Total magnetic moment (μB/f.u.): 2.76
# Crystal system: orthorhombic

---

Stability, highest: w

---

w:
# Sc2TaMn | Alexandria via LeMat-Bulk | PBE | optimized geometry
data_Sc2TaMn
_chemical_formula_sum 'Sc2 Ta1 Mn1'
_cell_length_a 3.496
_cell_length_b 4.503
_cell_length_c 4.699
_cell_angle_alpha 90.00
_cell_angle_beta 90.00
_cell_angle_gamma 90.00
_space_group_name_H-M_alt 'P m m m'
_space_group_IT_number 47
loop_
_space_group_symop_operation_xyz
'x,y,z'
'-x,-y,-z'
'-x,-y,z'
'x,y,-z'
'x,-y,-z'
'-x,y,z'
'-x,y,-z'
'x,-y,z'
loop_
_atom_site_label
_atom_site_type_symbol
_atom_site_fract_x
_atom_site_fract_y
_atom_site_fract_z
Sc1 Sc 0.000 0.000 0.000
Sc2 Sc 0.500 0.500 0.000
Ta1 Ta 0.000 0.500 0.500
Mn1 Mn 0.500 0.000 0.500
# Total magnetic moment (μB/f.u.): 0.68
# Crystal system: orthorhombic

---

x:
# Sc2TaMn | Alexandria via LeMat-Bulk | PBE | optimized geometry
data_Sc2TaMn
_chemical_formula_sum 'Sc4 Ta2 Mn2'
_cell_length_a 3.213
_cell_length_b 4.515
_cell_length_c 9.823
_cell_angle_alpha 90.00
_cell_angle_beta 90.00
_cell_angle_gamma 90.00
_space_group_name_H-M_alt 'I m m m'
_space_group_IT_number 71
_space_group_name_Hall '-I 2 2'
loop_
_atom_site_label
_atom_site_type_symbol
_atom_site_fract_x
_atom_site_fract_y
_atom_site_fract_z
Sc1 Sc 0.000 0.000 0.210
Ta1 Ta 0.000 0.500 0.000
Mn1 Mn 0.000 0.500 0.500
# Total magnetic moment (μB/f.u.): 0.00
# Crystal system: orthorhombic

---

Stability, highest: x

---

w:
# Sc2TaMn | Alexandria via LeMat-Bulk | PBE | optimized geometry
data_Sc2TaMn
_chemical_formula_sum 'Sc8 Ta4 Mn4'
_cell_length_a 7.462
_cell_length_b 7.462
_cell_length_c 5.544
_cell_angle_alpha 90.00
_cell_angle_beta 90.00
_cell_angle_gamma 90.00
_space_group_name_H-M_alt 'I -4 2 d'
_space_group_IT_number 122
_space_group_name_Hall 'I -4 2bw'
loop_
_atom_site_label
_atom_site_type_symbol
_atom_site_fract_x
_atom_site_fract_y
_atom_site_fract_z
Sc1 Sc 0.212 0.750 0.125
Ta1 Ta 0.000 0.000 0.500
Mn1 Mn 0.000 0.000 0.000
# Total magnetic moment (μB/f.u.): 1.95
# Crystal system: tetragonal

---

x:
# Sc2TaMn | Alexandria via LeMat-Bulk | PBE | optimized geometry
data_Sc2TaMn
_chemical_formula_sum 'Sc4 Ta2 Mn2'
_cell_length_a 4.180
_cell_length_b 4.180
_cell_length_c 8.781
_cell_angle_alpha 90.00
_cell_angle_beta 90.00
_cell_angle_gamma 90.00
_space_group_name_H-M_alt 'I 4/m m m'
_space_group_IT_number 139
_space_group_name_Hall '-I 4 2'
loop_
_atom_site_label
_atom_site_type_symbol
_atom_site_fract_x
_atom_site_fract_y
_atom_site_fract_z
Sc1 Sc 0.000 0.500 0.250
Ta1 Ta 0.000 0.000 0.000
Mn1 Mn 0.000 0.000 0.500
# Total magnetic moment (μB/f.u.): 2.88
# Crystal system: tetragonal

---

Stability, highest: x

---

w:
# ScTaMn | Alexandria via LeMat-Bulk | PBE | optimized geometry
data_ScTaMn
_chemical_formula_sum 'Sc4 Ta4 Mn4'
_cell_length_a 6.048
_cell_length_b 6.048
_cell_length_c 6.048
_cell_angle_alpha 90.00
_cell_angle_beta 90.00
_cell_angle_gamma 90.00
_space_group_name_H-M_alt 'F -4 3 m'
_space_group_IT_number 216
_space_group_name_Hall 'F -4 2 3'
loop_
_atom_site_label
_atom_site_type_symbol
_atom_site_fract_x
_atom_site_fract_y
_atom_site_fract_z
Sc1 Sc 0.000 0.000 0.000
Ta1 Ta 0.000 0.000 0.500
Mn1 Mn 0.250 0.250 0.750
# Total magnetic moment (μB/f.u.): 0.00
# Crystal system: cubic

---

x:
# ScTaMn | Alexandria via LeMat-Bulk | PBE | optimized geometry
data_ScTaMn
_chemical_formula_sum 'Sc1 Ta1 Mn1'
_cell_length_a 4.3655
_cell_length_b 4.3655
_cell_length_c 3.0242
_cell_angle_alpha 90.00
_cell_angle_beta 90.00
_cell_angle_gamma 120.00
_space_group_name_H-M_alt 'P 3 m 1'
_space_group_IT_number 156
loop_
_space_group_symop_operation_xyz
'x,y,z'
'-y,x-y,z'
'-x+y,-x,z'
'-y,-x,z'
'-x+y,y,z'
'x,x-y,z'
loop_
_atom_site_label
_atom_site_type_symbol
_atom_site_fract_x
_atom_site_fract_y
_atom_site_fract_z
Sc1 Sc 0.0000 0.0000 0.0000
Ta1 Ta 0.6667 0.3333 0.4300
Mn1 Mn 0.3333 0.6667 0.6744
# Total magnetic moment (μB/f.u.): 0.26
# Crystal system: trigonal

---

Stability, highest: x